A) # AlZnSn2, relaxed, DFT PBE-GGA
data_AlZnSn2
_chemical_formula_sum 'Al4 Zn4 Sn8'
_cell_length_a 5.1716
_cell_length_b 5.1716
_cell_length_c 15.9530
_cell_angle_alpha 90.00
_cell_angle_beta 90.00
_cell_angle_gamma 90.00
_space_group_name_H-M_alt 'I -4 2 d'
_space_group_IT_number 122
_space_group_name_Hall 'I -4 2bw'
loop_
_atom_site_label
_atom_site_type_symbol
_atom_site_fract_x
_atom_site_fract_y
_atom_site_fract_z
_atom_site_occupancy
Al1 Al 0.0000 0.0000 0.0000 1
Zn1 Zn 0.0000 0.0000 0.5000 1
Sn1 Sn 0.2365 0.2500 0.6250 1
# Calculated density ... 5.13 g/cm3
# DOS at the Fermi energy ... 0.39 states/eV per atom
# Calculated volume ... 426.7 Å³/cell
# Size of the total moment ... 0.00 μB/f.u.


B) # AlZnSn2, relaxed, DFT PBE-GGA
data_AlZnSn2
_chemical_formula_sum 'Al1 Zn1 Sn2'
_cell_length_a 4.9968
_cell_length_b 4.9968
_cell_length_c 3.5721
_cell_angle_alpha 90.00
_cell_angle_beta 90.00
_cell_angle_gamma 90.00
_space_group_name_H-M_alt 'P 4/m m m'
_space_group_IT_number 123
_space_group_name_Hall '-P 4 2'
loop_
_atom_site_label
_atom_site_type_symbol
_atom_site_fract_x
_atom_site_fract_y
_atom_site_fract_z
_atom_site_occupancy
Al1 Al 0.0000 0.0000 0.0000 1
Zn1 Zn 0.5000 0.5000 0.0000 1
Sn1 Sn 0.0000 0.5000 0.5000 1
# Calculated density ... 6.14 g/cm3
# DOS at the Fermi energy ... 0.38 states/eV per atom
# Calculated volume ... 89.2 Å³/cell
# Size of the total moment ... 0.00 μB/f.u.


Least stable structure: A)